[1]
Here is a relaxed EuInSnPb crystal from Alexandria. Energies are from PBE.

## Properties
VASP energy   -5.456 eV/atom

Unit cell a=5.543 b=5.543 c=5.543 alpha=60.00 beta=60.00 gamma=60.00
Last column: magnetic moment on the atom in μB.
Sites, in units of the cell vectors:
In  0.750  0.750  0.750  0.01
Sn  0.250  0.250  0.250  0.03
Pb  0.000  0.000  0.000  0.00
Eu  0.500  0.500  0.500  6.86

[2]
Here is a relaxed LaAgHg2 crystal from Alexandria. Energies are from PBE.

## Properties
VASP energy   -2.348 eV/atom

Unit cell a=4.649 b=4.644 c=4.846 alpha=90.00 beta=90.00 gamma=90.00
Sites, in units of the cell vectors:
Ag  0.000  0.500  0.500
La  0.500  0.000  0.500
Hg  0.000  0.000  0.000
Hg  0.500  0.500  0.000

[3]
Here is a relaxed InTe2Cl crystal from Alexandria. Energies are from PBE.

## Properties
E above lowest polymorph   91 meV/atom
Uncorrected formation energy   -0.279 eV per atom

Unit cell a=4.284 b=4.281 c=7.431 alpha=90.00 beta=90.00 gamma=90.00
Sites, in units of the cell vectors:
In  0.000  0.500  0.500
Cl  0.500  0.000  0.500
Te  0.500  0.500  0.000
Te  0.000  0.000  0.000

[4]
Here is a relaxed Ce2ThV crystal from Alexandria. Energies are from PBE.

## Properties
VASP energy   -6.617 eV/atom

Unit cell a=3.263 b=3.263 c=11.002 alpha=81.47 beta=81.47 gamma=60.00
Last column: magnetic moment on the atom in μB.
Sites, in units of the cell vectors:
Ce  0.076  0.076  0.772  0.00
Ce  0.924  0.924  0.228  0.00
Th  0.500  0.500  0.500  0.00
V  0.000  0.000  0.000  1.29